1.
# Sm3Mg2WS8 (GGA-PBE, optimized geometry)
data_Sm3Mg2WS8
_chemical_formula_sum 'Sm9 Mg6 W3 S24'
_cell_length_a 7.9438
_cell_length_b 7.9438
_cell_length_c 18.8259
_cell_angle_alpha 90.00
_cell_angle_beta 90.00
_cell_angle_gamma 120.00
_space_group_name_H-M_alt 'R -3 m'
_space_group_IT_number 166
_space_group_name_Hall '-R 3 2"'
loop_
_atom_site_label
_atom_site_type_symbol
_atom_site_fract_x
_atom_site_fract_y
_atom_site_fract_z
Sm1 Sm 0.0000 0.5000 0.0000
Mg1 Mg 0.0000 0.0000 0.1259
W1 W 0.0000 0.0000 0.5000
S1 S 0.0000 0.0000 0.2537
S2 S 0.0231 0.5116 0.2424
# Formation energy (no corrections) in eV/atom: -1.44
# Calculated volume in Å³ per atom: 24.50
# Size of the total moment in μB/cell: 8.9


2.
# K2NpCd2O6 (GGA-PBE, optimized geometry)
data_K2NpCd2O6
_chemical_formula_sum 'K4 Np2 Cd4 O12'
_cell_length_a 5.9477
_cell_length_b 9.9652
_cell_length_c 6.7409
_cell_angle_alpha 90.00
_cell_angle_beta 109.30
_cell_angle_gamma 90.00
_space_group_name_H-M_alt 'C 1 2/m 1'
_space_group_IT_number 12
loop_
_space_group_symop_operation_xyz
'x,y,z'
'-x,-y,-z'
'-x,y,-z'
'x,-y,z'
'x+1/2,y+1/2,z'
'-x+1/2,-y+1/2,-z'
'-x+1/2,y+1/2,-z'
'x+1/2,-y+1/2,z'
loop_
_atom_site_label
_atom_site_type_symbol
_atom_site_fract_x
_atom_site_fract_y
_atom_site_fract_z
K1 K 0.0000 0.1776 0.0000
Np1 Np 0.0000 0.0000 0.5000
Cd1 Cd 0.0000 0.3364 0.5000
O1 O 0.2104 0.1517 0.6881
O2 O 0.2275 0.0000 0.3162
# Formation energy (no corrections) in eV/atom: -1.88
# Calculated volume in Å³ per atom: 17.14
# Size of the total moment in μB/cell: 2.0


3.
# HoEr4Th (GGA-PBE, optimized geometry)
data_HoEr4Th
_chemical_formula_sum 'Ho4 Er16 Th4'
_cell_length_a 9.1784
_cell_length_b 9.1784
_cell_length_c 9.1784
_cell_angle_alpha 90.00
_cell_angle_beta 90.00
_cell_angle_gamma 90.00
_space_group_name_H-M_alt 'F -4 3 m'
_space_group_IT_number 216
_space_group_name_Hall 'F -4 2 3'
loop_
_atom_site_label
_atom_site_type_symbol
_atom_site_fract_x
_atom_site_fract_y
_atom_site_fract_z
Ho1 Ho 0.0000 0.0000 0.0000
Er1 Er 0.1246 0.1246 0.6246
Th1 Th 0.2500 0.2500 0.2500
# Calculated volume in Å³ per atom: 32.22
# Offset from the most stable computed form in meV per atom: 302
# Energy relative to the elements in eV per atom: 0.33
# Size of the total moment in μB/cell: 8.3


4.
# CsTa2GeSb (GGA-PBE, optimized geometry)
data_CsTa2GeSb
_chemical_formula_sum 'Cs1 Ta2 Ge1 Sb1'
_cell_length_a 5.0047
_cell_length_b 5.0047
_cell_length_c 6.0480
_cell_angle_alpha 90.00
_cell_angle_beta 90.00
_cell_angle_gamma 90.00
_space_group_name_H-M_alt 'P 4/m m m'
_space_group_IT_number 123
_space_group_name_Hall '-P 4 2'
loop_
_atom_site_label
_atom_site_type_symbol
_atom_site_fract_x
_atom_site_fract_y
_atom_site_fract_z
Cs1 Cs 0.0000 0.0000 0.0000
Ta1 Ta 0.0000 0.5000 0.5000
Ge1 Ge 0.0000 0.0000 0.5000
Sb1 Sb 0.5000 0.5000 0.0000
# Formation energy (no corrections) in eV/atom: 1.41
# Calculated volume in Å³ per atom: 30.30
# Size of the total moment in μB/cell: 2.0


5.
# Ag3SF6 (GGA-PBE, optimized geometry)
data_Ag3SF6
_chemical_formula_sum 'Ag12 S4 F24'
_cell_length_a 9.2513
_cell_length_b 15.3899
_cell_length_c 4.3639
_cell_angle_alpha 90.00
_cell_angle_beta 90.00
_cell_angle_gamma 90.00
_space_group_name_H-M_alt 'C m c 21'
_space_group_IT_number 36
loop_
_space_group_symop_operation_xyz
'x,y,z'
'-x,-y,z+1/2'
'-x,y,z'
'x,-y,z+1/2'
'x+1/2,y+1/2,z'
'-x+1/2,-y+1/2,z+1/2'
'-x+1/2,y+1/2,z'
'x+1/2,-y+1/2,z+1/2'
loop_
_atom_site_label
_atom_site_type_symbol
_atom_site_fract_x
_atom_site_fract_y
_atom_site_fract_z
Ag1 Ag 0.0000 0.0648 0.0000
Ag2 Ag 0.2035 0.0703 0.5030
S1 S 0.0000 0.3146 0.3457
F1 F 0.0000 0.2188 0.5770
F2 F 0.0000 0.3971 0.0782
F3 F 0.1269 0.2693 0.1545
F4 F 0.2224 0.3940 0.5103
# Formation energy (no corrections) in eV/atom: -1.16
# Calculated volume in Å³ per atom: 15.53
# Size of the total moment in μB/cell: 0.0